The following is a PBE calculation of crystalline Ba6Sr2Hg at its relaxed geometry, from the Alexandria database.

Lattice parameters (Å, degrees): 4.5050 11.4570 11.3355 120.36 90.00 90.00
Atoms (fractional coordinates):
Ba (0.5000, 0.0051, 0.6412)
Ba (0.0000, 0.2578, 0.0000)
Ba (0.0000, 0.9892, 0.2326)
Ba (0.5000, 0.3639, 0.3588)
Ba (0.5000, 0.6102, 0.0000)
Ba (0.0000, 0.7566, 0.7674)
Sr (0.0000, 0.6728, 0.3446)
Sr (0.0000, 0.3283, 0.6554)
Hg (0.5000, 0.0161, 0.0000)

uncorrected energy	-0.065	hartree per atom
energy relative to the lowest polymorph listed for this composition	0	meV/atom
space-group type	Amm2 (38)
M_tot	0.00	Bohr magnetons per cell